1.
VASP calculation (PBE-GGA) on Sn3O8 after structural relaxation.

## Properties
crystal system: orthorhombic
DFT total energy: -5.460 eV per atom

a b c (Å): 5.890 5.890 5.890
angles (deg): 110.25 109.28 108.88
Element x y z (fractional)
Sn  0.000  0.000  0.000
Sn  0.500  0.263  0.763
Sn  0.500  0.737  0.237
O  0.204  0.224  0.428
O  0.204  0.776  0.981
O  0.308  0.308  0.000
O  0.323  0.823  0.500
O  0.677  0.177  0.500
O  0.692  0.692  0.000
O  0.796  0.224  0.019
O  0.796  0.776  0.572

---

2.
VASP calculation (PBE-GGA) on Tl2PRh after structural relaxation.

## Properties
crystal system: trigonal
E above lowest polymorph: 221 kJ/mol of formula units
DFT total energy: -3.958 eV per atom
ΔE_f: 0.416 eV per atom

a b c (Å): 7.881 7.881 7.881
angles (deg): 26.32 26.32 26.32
Element x y z (fractional)
Tl  0.249  0.249  0.249
Tl  0.751  0.751  0.751
P  0.000  0.000  0.000
Rh  0.500  0.500  0.500

---

3.
VASP calculation (PBE-GGA) on Hf2ZrBi after structural relaxation.

## Properties
crystal system: orthorhombic
DFT total energy: -8.195 eV per atom
ΔE_f: -0.111 eV per atom

a b c (Å): 5.799 5.799 9.399
angles (deg): 90.00 90.00 143.26
Element x y z (fractional)
Hf  0.130  0.870  0.527
Hf  0.130  0.870  0.973
Hf  0.870  0.130  0.027
Hf  0.870  0.130  0.473
Zr  0.446  0.554  0.750
Zr  0.554  0.446  0.250
Bi  0.274  0.726  0.250
Bi  0.726  0.274  0.750

---

4.
VASP calculation (PBE-GGA) on Pm7DyRh4 after structural relaxation.

## Properties
crystal system: monoclinic
DFT total energy: -5.890 eV per atom
ΔE_f: -0.285 eV per atom

a b c (Å): 7.430 7.430 10.039
angles (deg): 122.42 122.42 44.43
Element x y z (fractional)
Pm  0.000  0.000  0.000
Pm  0.171  0.171  0.624
Pm  0.288  0.288  0.123
Pm  0.417  0.417  0.615
Pm  0.583  0.583  0.385
Pm  0.712  0.712  0.877
Pm  0.829  0.829  0.376
Dy  0.500  0.500  0.000
Rh  0.066  0.066  0.783
Rh  0.197  0.197  0.331
Rh  0.803  0.803  0.669
Rh  0.934  0.934  0.217

---

5.
VASP calculation (PBE-GGA) on SrTc2F after structural relaxation.

## Properties
crystal system: tetragonal
E above lowest polymorph: 0 kJ/mol of formula units
DFT total energy: -5.637 eV per atom

a b c (Å): 9.594 9.594 9.594
angles (deg): 152.69 152.69 39.01
Element x y z (fractional)
Sr  0.375  0.625  0.750
Sr  0.625  0.375  0.250
Tc  0.000  0.000  0.000
Tc  0.000  0.000  0.500
Tc  0.000  0.500  0.000
Tc  0.500  0.000  0.500
F  0.125  0.875  0.250
F  0.875  0.125  0.750

---

6.
VASP calculation (PBE-GGA) on FeP2SCl after structural relaxation.

## Properties
crystal system: tetragonal
E above lowest polymorph: 29 kJ/mol of formula units
DFT total energy: -4.493 eV per atom

a b c (Å): 4.386 4.386 4.443
angles (deg): 90.00 90.00 90.00
Element x y z (fractional)
Fe  0.000  0.000  0.000
P  0.000  0.500  0.000
P  0.500  0.000  0.000
S  0.500  0.500  0.500
Cl  0.000  0.000  0.500